Entry 1:
A plane-wave DFT calculation with GGA-PBE was carried out for a geometry-optimized CaMg9Rh2 structure.

a b c (Å): 9.0664 9.0664 9.0664
angles (deg): 100.13 100.13 130.40
With the nearest neighbours (Å) after each atom.
Positions (direct):
Ca  0.3750  0.6250  0.7500  18 Mg 3.64-3.84, 4 Rh 4.07
Ca  0.6250  0.3750  0.2500  18 Mg 3.64-3.84, 4 Rh 4.07
Mg  0.1250  0.8750  0.2500  8 Mg 3.03, 4 Rh 3.06
Mg  0.1424  0.5725  0.3250  2 Rh 2.77-2.79, 6 Mg 2.85-3.08
Mg  0.1424  0.8174  0.5700  2 Rh 2.77-2.79, 6 Mg 2.85-3.08
Mg  0.1826  0.2525  0.3250  2 Rh 2.77-2.79, 6 Mg 2.85-3.08
Mg  0.1826  0.8576  0.9300  2 Rh 2.77-2.79, 6 Mg 2.85-3.08
Mg  0.2525  0.1826  0.8250  2 Rh 2.77-2.79, 6 Mg 2.85-3.08
Mg  0.2525  0.4275  0.0700  2 Rh 2.77-2.79, 6 Mg 2.85-3.08
Mg  0.4275  0.2525  0.5700  2 Rh 2.77-2.79, 6 Mg 2.85-3.08
Mg  0.4275  0.8576  0.1750  2 Rh 2.77-2.79, 6 Mg 2.85-3.08
Mg  0.5725  0.1424  0.8250  2 Rh 2.77-2.79, 6 Mg 2.85-3.08
Mg  0.5725  0.7475  0.4300  2 Rh 2.77-2.79, 6 Mg 2.85-3.08
Mg  0.7475  0.5725  0.9300  2 Rh 2.77-2.79, 6 Mg 2.85-3.08
Mg  0.7475  0.8174  0.1750  2 Rh 2.77-2.79, 6 Mg 2.85-3.08
Mg  0.8174  0.1424  0.0700  2 Rh 2.77-2.79, 6 Mg 2.85-3.08
Mg  0.8174  0.7475  0.6750  2 Rh 2.77-2.79, 6 Mg 2.85-3.08
Mg  0.8576  0.1826  0.4300  2 Rh 2.77-2.79, 6 Mg 2.85-3.08
Mg  0.8576  0.4275  0.6750  2 Rh 2.77-2.79, 6 Mg 2.85-3.08
Mg  0.8750  0.1250  0.7500  8 Mg 3.03, 4 Rh 3.06
Rh  0.0000  0.0000  0.0000  10 Mg 2.77-3.06
Rh  0.0000  0.0000  0.5000  10 Mg 2.77-3.06
Rh  0.0000  0.5000  0.0000  10 Mg 2.77-3.06
Rh  0.5000  0.0000  0.5000  10 Mg 2.77-3.06

Summary:
- formation energy (eV/f.u.) = -2.71
- uncorrected energy (eV for the cell shown) = -67.54
- Fermi-level density of states (states/eV per cell) = 12.11
- total moment (μB/cell) = 0.0
- space-group type = I4_1/amd (141)
- mass density (g cm⁻³) = 3.00
- calculated volume (Å³/atom) = 21.467



Entry 2:
A plane-wave DFT calculation with GGA-PBE was carried out for a geometry-optimized Ca2MgRh structure.

a b c (Å): 4.8629 4.8629 4.0694
angles (deg): 90.00 90.00 90.00
With the nearest neighbours (Å) after each atom.
Positions (direct):
Ca  0.0000  0.5000  0.0000  4 Mg 3.17, 4 Rh 3.17, 4 Ca 3.44
Ca  0.5000  0.0000  0.0000  4 Mg 3.17, 4 Rh 3.17, 4 Ca 3.44
Mg  0.0000  0.0000  0.5000  8 Ca 3.17, 4 Rh 3.44
Rh  0.5000  0.5000  0.5000  8 Ca 3.17, 4 Mg 3.44

Summary:
- formation energy (eV/f.u.) = -0.54
- uncorrected energy (eV for the cell shown) = -13.49
- Fermi-level density of states (states/eV per cell) = 2.17
- total moment (μB/cell) = 0.0
- space-group type = P4/mmm (123)
- mass density (g cm⁻³) = 3.58
- calculated volume (Å³/atom) = 24.058



Entry 3:
A plane-wave DFT calculation with GGA-PBE was carried out for a geometry-optimized Ca4MgRh structure.

a b c (Å): 8.2653 8.2653 6.3164
angles (deg): 100.79 100.79 111.83
With the nearest neighbours (Å) after each atom.
Positions (direct):
Ca  0.0591  0.7296  0.9453  2 Rh 2.89-2.92
Ca  0.1973  0.3525  0.6332  2 Rh 3.06-3.07, 1 Mg 3.39
Ca  0.2704  0.9409  0.5547  2 Rh 2.89-2.92
Ca  0.3525  0.1973  0.1332  2 Rh 3.06-3.07, 1 Mg 3.39
Ca  0.6475  0.8027  0.8668  2 Rh 3.06-3.07, 1 Mg 3.39
Ca  0.7296  0.0591  0.4453  2 Rh 2.89-2.92
Ca  0.8027  0.6475  0.3668  2 Rh 3.06-3.07, 1 Mg 3.39
Ca  0.9409  0.2704  0.0547  2 Rh 2.89-2.92
Mg  0.3760  0.6240  0.2500  8 Ca 3.39-3.74
Mg  0.6240  0.3760  0.7500  8 Ca 3.39-3.74
Rh  0.0005  0.9995  0.7500  8 Ca 2.89-3.07, 2 Rh 3.16
Rh  0.9995  0.0005  0.2500  8 Ca 2.89-3.07, 2 Rh 3.16

Summary:
- formation energy (eV/f.u.) = -1.38
- excess energy over the best structure of this formula in the dataset (eV per atom) = 0.000
- uncorrected energy (eV for the cell shown) = -36.66
- Fermi-level density of states (states/eV per cell) = 7.98
- total moment (μB/cell) = 0.0
- space-group type = C2/c (15)
- mass density (g cm⁻³) = 2.53
- calculated volume (Å³/atom) = 31.464



Entry 4:
A plane-wave DFT calculation with GGA-PBE was carried out for a geometry-optimized CaMg2Rh structure.

a b c (Å): 4.8544 4.8544 4.8544
angles (deg): 60.00 60.00 60.00
With the nearest neighbours (Å) after each atom.
Positions (direct):
Ca  0.0000  0.0000  0.0000  8 Mg 2.97
Mg  0.2500  0.2500  0.2500  4 Ca 2.97, 4 Rh 2.97
Mg  0.7500  0.7500  0.7500  4 Ca 2.97, 4 Rh 2.97
Rh  0.5000  0.5000  0.5000  8 Mg 2.97

Summary:
- formation energy (eV/f.u.) = -0.75
- uncorrected energy (eV for the cell shown) = -13.29
- Fermi-level density of states (states/eV per cell) = 3.11
- total moment (μB/cell) = 0.0
- space-group type = Fm-3m (225)
- mass density (g cm⁻³) = 3.93
- calculated volume (Å³/atom) = 20.222



Entry 5:
A plane-wave DFT calculation with GGA-PBE was carried out for a geometry-optimized CaMg4Rh structure.

a b c (Å): 8.9119 4.1916 7.4687
angles (deg): 90.00 90.00 90.00
With the nearest neighbours (Å) after each atom.
Positions (direct):
Ca  0.2500  0.0000  0.0929  1 Rh 2.97
Ca  0.7500  0.0000  0.9071  1 Rh 2.97
Mg  0.0000  0.0000  0.5000  2 Rh 2.66
Mg  0.0699  0.5000  0.8010  2 Rh 2.75, 1 Mg 3.02
Mg  0.2500  0.5000  0.4584  2 Rh 2.74, 2 Mg 3.02
Mg  0.4301  0.5000  0.8010  2 Rh 2.75, 1 Mg 3.02
Mg  0.5000  0.0000  0.5000  2 Rh 2.66
Mg  0.5699  0.5000  0.1990  2 Rh 2.75, 1 Mg 3.02
Mg  0.7500  0.5000  0.5416  2 Rh 2.74, 2 Mg 3.02
Mg  0.9301  0.5000  0.1990  2 Rh 2.75, 1 Mg 3.02
Rh  0.2500  0.0000  0.6957  8 Mg 2.66-2.75, 1 Ca 2.97
Rh  0.7500  0.0000  0.3043  8 Mg 2.66-2.75, 1 Ca 2.97

Summary:
- formation energy (eV/f.u.) = -1.65
- excess energy over the best structure of this formula in the dataset (eV per atom) = 0.000
- uncorrected energy (eV for the cell shown) = -34.77
- Fermi-level density of states (states/eV per cell) = 9.02
- total moment (μB/cell) = 0.0
- space-group type = Pmma (51)
- mass density (g cm⁻³) = 2.86
- calculated volume (Å³/atom) = 23.249



Entry 6:
A plane-wave DFT calculation with GGA-PBE was carried out for a geometry-optimized CaMg8Rh4 structure.

a b c (Å): 7.1091 7.1091 7.1091
angles (deg): 99.64 99.64 131.68
With the nearest neighbours (Å) after each atom.
Positions (direct):
Ca  0.0000  0.0000  0.0000  4 Mg 2.99
Mg  0.0000  0.3262  0.3262  4 Rh 2.80, 4 Mg 2.98-3.05, 1 Ca 2.99
Mg  0.0000  0.6738  0.6738  4 Rh 2.80, 4 Mg 2.98-3.05, 1 Ca 2.99
Mg  0.2742  0.5000  0.7742  4 Rh 2.72, 6 Mg 2.93-3.05
Mg  0.3262  0.0000  0.3262  4 Rh 2.80, 4 Mg 2.98-3.05, 1 Ca 2.99
Mg  0.5000  0.2742  0.7742  4 Rh 2.72, 6 Mg 2.93-3.05
Mg  0.5000  0.7258  0.2258  4 Rh 2.72, 6 Mg 2.93-3.05
Mg  0.6738  0.0000  0.6738  4 Rh 2.80, 4 Mg 2.98-3.05, 1 Ca 2.99
Mg  0.7258  0.5000  0.2258  4 Rh 2.72, 6 Mg 2.93-3.05
Rh  0.0000  0.0000  0.5000  8 Mg 2.72-2.80, 2 Rh 2.91
Rh  0.0000  0.5000  0.0000  8 Mg 2.72-2.80, 2 Rh 2.91
Rh  0.5000  0.0000  0.0000  8 Mg 2.72-2.80, 2 Rh 2.91
Rh  0.5000  0.5000  0.5000  8 Mg 2.72-2.80, 2 Rh 2.91

Summary:
- formation energy (eV/f.u.) = -4.97
- uncorrected energy (eV for the cell shown) = -49.13
- Fermi-level density of states (states/eV per cell) = 6.24
- total moment (μB/cell) = 0.0
- space-group type = I4/mmm (139)
- mass density (g cm⁻³) = 4.38
- calculated volume (Å³/atom) = 18.833



Entry 7:
A plane-wave DFT calculation with GGA-PBE was carried out for a geometry-optimized Ca2MgRh structure.

a b c (Å): 5.0713 5.0713 5.0713
angles (deg): 60.00 60.00 60.00
With the nearest neighbours (Å) after each atom.
Positions (direct):
Ca  0.0000  0.0000  0.0000  4 Rh 3.11, 4 Ca 3.11
Ca  0.2500  0.2500  0.2500  4 Mg 3.11, 4 Ca 3.11
Mg  0.5000  0.5000  0.5000  4 Rh 3.11, 4 Ca 3.11
Rh  0.7500  0.7500  0.7500  4 Mg 3.11, 4 Ca 3.11

Summary:
- formation energy (eV/f.u.) = -0.39
- uncorrected energy (eV for the cell shown) = -13.34
- Fermi-level density of states (states/eV per cell) = 4.07
- total moment (μB/cell) = 0.0
- space-group type = F-43m (216)
- mass density (g cm⁻³) = 3.73
- calculated volume (Å³/atom) = 23.056



Entry 8:
A plane-wave DFT calculation with GGA-PBE was carried out for a geometry-optimized CaMgRh structure.

a b c (Å): 4.7163 4.7163 4.7163
angles (deg): 60.00 60.00 60.00
With the nearest neighbours (Å) after each atom.
Positions (direct):
Ca  0.0000  0.0000  0.0000  4 Mg 2.89, 4 Rh 2.89
Mg  0.2500  0.2500  0.2500  4 Ca 2.89
Rh  0.7500  0.7500  0.7500  4 Ca 2.89

Summary:
- formation energy (eV/f.u.) = 1.29
- uncorrected energy (eV for the cell shown) = -9.65
- Fermi-level density of states (states/eV per cell) = 1.58
- total moment (μB/cell) = 0.0
- space-group type = F-43m (216)
- mass density (g cm⁻³) = 3.74
- calculated volume (Å³/atom) = 24.726



Entry 9:
A plane-wave DFT calculation with GGA-PBE was carried out for a geometry-optimized CaMg2Rh structure.

a b c (Å): 5.1869 5.1869 3.3286
angles (deg): 90.00 90.00 111.01
With the nearest neighbours (Å) after each atom.
Positions (direct):
Ca  0.0000  0.0000  0.0000  2 Rh 2.94, 8 Mg 3.08
Mg  0.0000  0.5000  0.5000  2 Mg 2.94, 4 Ca 3.08, 4 Rh 3.08
Mg  0.5000  0.0000  0.5000  2 Mg 2.94, 4 Rh 3.08, 4 Ca 3.08
Rh  0.5000  0.5000  0.0000  2 Ca 2.94, 8 Mg 3.08

Summary:
- formation energy (eV/f.u.) = 0.05
- uncorrected energy (eV for the cell shown) = -12.49
- Fermi-level density of states (states/eV per cell) = 2.91
- total moment (μB/cell) = 0.2
- space-group type = Cmmm (65)
- mass density (g cm⁻³) = 3.81
- calculated volume (Å³/atom) = 20.900



Entry 10:
A plane-wave DFT calculation with GGA-PBE was carried out for a geometry-optimized Ca2MgRh structure.

a b c (Å): 5.4778 5.4778 5.4778
angles (deg): 130.26 130.26 72.99
With the nearest neighbours (Å) after each atom.
Positions (direct):
Ca  0.0000  0.0000  0.0000  4 Mg 3.19, 4 Ca 3.19, 4 Rh 3.26
Ca  0.7500  0.2500  0.5000  4 Rh 3.19, 4 Ca 3.19, 4 Mg 3.26
Mg  0.2500  0.7500  0.5000  8 Ca 3.19-3.26, 4 Rh 3.19
Rh  0.5000  0.5000  0.0000  8 Ca 3.19-3.26, 4 Mg 3.19

Summary:
- formation energy (eV/f.u.) = -0.43
- uncorrected energy (eV for the cell shown) = -13.38
- Fermi-level density of states (states/eV per cell) = 2.53
- total moment (μB/cell) = 0.0
- space-group type = I-4m2 (119)
- mass density (g cm⁻³) = 3.68
- calculated volume (Å³/atom) = 23.372